K2Zn2Sn: relaxed, GGA-PBE.

Geometry as POSCAR:
```
K2Zn2Sn
1.0
3.614 0.000 0.000
0.000 3.614 0.000
1.807 1.807 11.798
K Zn Sn
2 2 1
Direct
0.614 0.614 0.771
0.386 0.386 0.229
0.750 0.250 0.500
0.250 0.750 0.500
0.000 0.000 0.000
```

Results
Magnetic moment (μB/atom): 0.000
Energy of formation from the pure elements (eV/atom): 0.07
Offset from the most stable computed form (meV/atom): 81
SG: I4/mmm